[1]
NaVP2O7 | SCAN | PBEsol geometry

```
NaVP2O7
1.0
-3.484 3.527 -5.421
-6.142 1.256 4.765
5.322 5.975 5.285
Na V P O
4 4 8 28
Direct
0.211 0.476 0.706
0.789 0.976 0.794
0.789 0.524 0.294
0.211 0.024 0.206
0.239 0.008 0.752
0.761 0.508 0.748
0.761 0.992 0.248
0.239 0.492 0.252
0.573 0.755 0.955
0.427 0.255 0.545
0.427 0.245 0.045
0.573 0.745 0.455
0.173 0.711 0.955
0.827 0.211 0.545
0.827 0.289 0.045
0.173 0.789 0.455
0.685 0.636 0.894
0.315 0.136 0.606
0.315 0.364 0.106
0.685 0.864 0.394
0.137 0.896 0.901
0.863 0.396 0.599
0.863 0.104 0.099
0.137 0.604 0.401
0.031 0.586 0.848
0.969 0.086 0.652
0.969 0.414 0.152
0.031 0.914 0.348
0.376 0.652 0.940
0.624 0.152 0.560
0.624 0.348 0.060
0.376 0.848 0.440
0.510 0.918 0.862
0.490 0.418 0.638
0.490 0.082 0.138
0.510 0.582 0.362
0.192 0.801 0.619
0.808 0.301 0.881
0.808 0.199 0.381
0.192 0.699 0.119
0.314 0.214 0.877
0.686 0.714 0.623
0.686 0.786 0.123
0.314 0.286 0.377
```

## Properties
- Calculated volume: 11.71 A^3/atom
- Formation energy from raw total energies: -2.584 eV per atom
- Magnetic moment: 2.00 μB/f.u.
- Symmetry: No. 14


[2]
NaVPO5 | SCAN | PBEsol geometry

```
NaVPO5
1.0
-6.429 -1.140 0.294
3.976 -5.478 1.404
0.001 2.105 8.207
Na V P O
4 4 4 20
Direct
0.250 0.250 0.423
0.750 0.250 0.923
0.750 0.750 0.577
0.250 0.750 0.077
0.250 0.000 0.750
0.750 0.500 0.250
0.750 0.000 0.250
0.250 0.500 0.750
0.750 0.250 0.569
0.250 0.250 0.069
0.250 0.750 0.431
0.750 0.750 0.931
0.250 0.250 0.691
0.750 0.250 0.191
0.750 0.750 0.309
0.250 0.750 0.809
0.065 0.096 0.180
0.935 0.404 0.680
0.935 0.904 0.820
0.065 0.596 0.320
0.155 0.379 0.966
0.845 0.121 0.466
0.845 0.621 0.034
0.155 0.879 0.534
0.565 0.096 0.680
0.435 0.404 0.180
0.435 0.904 0.320
0.565 0.596 0.820
0.345 0.121 0.966
0.655 0.379 0.466
0.655 0.879 0.034
0.345 0.621 0.534
```

## Properties
- Calculated volume: 10.86 A^3/atom
- Energy above the lowest structure with this stoichiometry: 0.0 kJ/mol of atoms
- N(E_F): 1.614 states/eV per cell
- Formation energy from raw total energies: -2.593 eV per atom
- Magnetic moment: 1.00 μB/f.u.
- Symmetry: No. 15


[3]
Na2VPO6 | SCAN | PBEsol geometry

```
Na2VPO6
1.0
-4.418 -4.289 -0.252
4.546 -1.097 -5.782
7.027 -7.649 6.976
Na V P O
8 4 4 24
Direct
0.190 0.933 0.076
0.684 0.578 0.142
0.816 0.922 0.642
0.184 0.078 0.358
0.310 0.567 0.576
0.316 0.422 0.858
0.810 0.067 0.924
0.690 0.433 0.424
0.288 0.878 0.781
0.212 0.622 0.281
0.712 0.122 0.219
0.788 0.378 0.719
0.910 0.696 0.887
0.090 0.304 0.113
0.410 0.196 0.613
0.590 0.804 0.387
0.236 0.012 0.655
0.159 0.678 0.889
0.546 0.642 0.302
0.954 0.858 0.802
0.553 0.236 0.277
0.841 0.322 0.111
0.164 0.244 0.007
0.447 0.764 0.723
0.046 0.454 0.354
0.454 0.358 0.698
0.546 0.954 0.146
0.954 0.546 0.646
0.454 0.046 0.854
0.764 0.988 0.345
0.053 0.736 0.223
0.336 0.256 0.507
0.264 0.488 0.155
0.947 0.264 0.777
0.664 0.744 0.493
0.046 0.142 0.198
0.659 0.178 0.611
0.836 0.756 0.993
0.341 0.822 0.389
0.736 0.512 0.845
```

## Properties
- Calculated volume: 13.66 A^3/atom
- Energy above the lowest structure with this stoichiometry: 0.0 kJ/mol of atoms
- N(E_F): 0.000 states/eV per cell
- Formation energy from raw total energies: -2.492 eV per atom
- Magnetic moment: 0.00 μB/f.u.
- Symmetry: No. 14


[4]
NaVP2O7 | SCAN | PBEsol geometry

```
NaVP2O7
1.0
4.844 -0.005 0.000
-2.062 6.798 0.000
0.000 0.000 8.075
Na V P O
2 2 4 14
Direct
0.790 0.760 0.580
0.210 0.240 0.080
0.778 0.767 0.004
0.222 0.233 0.504
0.612 0.008 0.308
0.388 0.992 0.808
0.774 0.384 0.739
0.226 0.616 0.239
0.962 0.681 0.197
0.038 0.319 0.697
0.849 0.570 0.843
0.151 0.430 0.343
0.844 0.052 0.442
0.156 0.948 0.942
0.730 0.999 0.134
0.270 0.001 0.634
0.588 0.862 0.814
0.412 0.138 0.314
0.403 0.594 0.086
0.597 0.406 0.586
0.429 0.784 0.358
0.571 0.216 0.858
```

## Properties
- Calculated volume: 12.08 A^3/atom
- Formation energy from raw total energies: -2.582 eV per atom
- Magnetic moment: 2.00 μB/f.u.
- Symmetry: No. 4


[5]
Na3V2P3O12 | SCAN | PBEsol geometry

```
Na3V2P3O12
1.0
8.659 0.000 -0.129
0.000 8.880 0.000
-0.097 0.000 12.115
Na V P O
12 8 12 48
Direct
0.084 0.998 0.333
0.134 0.320 0.090
0.252 0.196 0.836
0.248 0.696 0.664
0.366 0.820 0.410
0.416 0.498 0.167
0.584 0.502 0.833
0.634 0.180 0.590
0.752 0.304 0.336
0.748 0.804 0.164
0.866 0.680 0.910
0.916 0.002 0.667
0.242 0.468 0.388
0.258 0.968 0.112
0.247 0.539 0.893
0.253 0.039 0.607
0.747 0.961 0.393
0.753 0.461 0.107
0.742 0.032 0.888
0.758 0.532 0.612
0.022 0.747 0.492
0.103 0.631 0.147
0.106 0.884 0.854
0.394 0.384 0.646
0.397 0.131 0.353
0.478 0.247 0.008
0.522 0.753 0.992
0.603 0.869 0.647
0.606 0.616 0.354
0.894 0.116 0.146
0.897 0.369 0.853
0.978 0.253 0.508
0.080 0.187 0.601
0.070 0.088 0.155
0.063 0.349 0.424
0.072 0.379 0.884
0.157 0.659 0.441
0.148 0.793 0.180
0.199 0.577 0.047
0.186 0.971 0.761
0.122 0.711 0.837
0.102 0.877 0.557
0.170 0.937 0.965
0.149 0.515 0.238
0.351 0.015 0.262
0.330 0.437 0.535
0.398 0.377 0.943
0.378 0.211 0.663
0.301 0.077 0.453
0.352 0.293 0.320
0.314 0.471 0.739
0.343 0.159 0.059
0.437 0.849 0.076
0.430 0.588 0.345
0.428 0.879 0.616
0.420 0.687 0.899
0.580 0.313 0.101
0.572 0.121 0.384
0.570 0.412 0.655
0.563 0.151 0.924
0.657 0.841 0.941
0.686 0.529 0.261
0.648 0.707 0.680
0.699 0.923 0.547
0.622 0.789 0.337
0.602 0.623 0.057
0.670 0.563 0.465
0.649 0.985 0.738
0.851 0.485 0.762
0.830 0.063 0.035
0.898 0.123 0.443
0.878 0.289 0.163
0.814 0.029 0.239
0.801 0.423 0.953
0.852 0.207 0.820
0.843 0.341 0.559
0.928 0.621 0.116
0.937 0.651 0.576
0.930 0.912 0.845
0.920 0.813 0.399
```

## Properties
- Calculated volume: 11.64 A^3/atom
- Energy above the lowest structure with this stoichiometry: 2.6 kJ/mol of atoms
- N(E_F): 0.342 states/eV per cell
- Formation energy from raw total energies: -2.552 eV per atom
- Magnetic moment: 4.00 μB/f.u.
- Symmetry: No. 14


[6]
NaVPO5 | SCAN | PBEsol geometry

```
NaVPO5
1.0
6.405 0.000 0.000
0.000 7.286 0.000
0.000 0.000 7.752
Na V P O
4 4 4 20
Direct
0.000 0.000 0.000
0.500 0.000 0.000
0.000 0.500 0.500
0.500 0.500 0.500
0.750 0.668 0.786
0.750 0.168 0.714
0.250 0.832 0.286
0.250 0.332 0.214
0.750 0.877 0.395
0.250 0.623 0.895
0.750 0.377 0.105
0.250 0.123 0.605
0.250 0.939 0.507
0.750 0.561 0.007
0.250 0.439 0.993
0.750 0.061 0.493
0.750 0.897 0.816
0.250 0.603 0.316
0.750 0.397 0.684
0.250 0.103 0.184
0.250 0.785 0.024
0.750 0.715 0.524
0.250 0.285 0.476
0.750 0.215 0.976
0.943 0.865 0.275
0.557 0.865 0.275
0.443 0.635 0.775
0.057 0.635 0.775
0.943 0.365 0.225
0.557 0.365 0.225
0.443 0.135 0.725
0.057 0.135 0.725
```

## Properties
- Calculated volume: 11.31 A^3/atom
- Energy above the lowest structure with this stoichiometry: 2.2 kJ/mol of atoms
- Formation energy from raw total energies: -2.570 eV per atom
- Magnetic moment: 1.00 μB/f.u.
- Symmetry: No. 62


[7]
NaVPO5 | SCAN | PBEsol geometry

```
NaVPO5
1.0
-4.830 -3.830 0.960
3.663 -3.781 3.347
-2.516 5.388 8.841
Na V P O
4 4 4 20
Direct
0.500 0.503 0.750
0.000 0.503 0.250
0.000 0.003 0.750
0.500 0.003 0.250
0.750 0.753 0.528
0.750 0.753 0.028
0.250 0.253 0.972
0.250 0.253 0.472
0.250 0.753 0.000
0.250 0.753 0.500
0.750 0.253 0.000
0.750 0.253 0.500
0.245 0.953 0.914
0.255 0.953 0.414
0.750 0.753 0.878
0.750 0.753 0.378
0.449 0.748 0.586
0.450 0.758 0.086
0.050 0.758 0.586
0.051 0.748 0.086
0.245 0.554 0.414
0.255 0.554 0.914
0.745 0.453 0.586
0.755 0.453 0.086
0.950 0.258 0.414
0.551 0.248 0.414
0.250 0.253 0.622
0.250 0.253 0.122
0.949 0.248 0.914
0.550 0.258 0.914
0.745 0.054 0.086
0.755 0.054 0.586
```

## Properties
- Calculated volume: 12.96 A^3/atom
- Energy above the lowest structure with this stoichiometry: 3.4 kJ/mol of atoms
- N(E_F): 0.000 states/eV per cell
- Formation energy from raw total energies: -2.558 eV per atom
- Magnetic moment: 1.00 μB/f.u.
- Symmetry: No. 138


[8]
Na3V2P3O12 | SCAN | PBEsol geometry

```
Na3V2P3O12
1.0
8.745 0.006 0.036
4.322 7.602 0.036
4.396 2.560 7.162
Na V P O
6 4 6 24
Direct
0.000 0.500 0.000
0.500 0.000 0.500
0.109 0.249 0.756
0.751 0.891 0.744
0.249 0.109 0.256
0.891 0.751 0.244
0.147 0.641 0.564
0.641 0.147 0.064
0.359 0.853 0.936
0.853 0.359 0.436
0.546 0.747 0.243
0.043 0.957 0.750
0.253 0.454 0.257
0.747 0.546 0.743
0.957 0.043 0.250
0.454 0.253 0.757
0.729 0.582 0.255
0.564 0.914 0.247
0.220 0.937 0.767
0.529 0.798 0.055
0.369 0.712 0.407
0.869 0.982 0.926
0.063 0.780 0.733
0.418 0.271 0.245
0.202 0.471 0.445
0.288 0.631 0.093
0.982 0.869 0.426
0.914 0.564 0.747
0.086 0.436 0.253
0.018 0.131 0.574
0.712 0.369 0.907
0.798 0.529 0.555
0.582 0.729 0.755
0.937 0.220 0.267
0.131 0.018 0.074
0.631 0.288 0.593
0.471 0.202 0.945
0.780 0.063 0.233
0.436 0.086 0.753
0.271 0.418 0.745
```

## Properties
- Calculated volume: 11.86 A^3/atom
- Energy above the lowest structure with this stoichiometry: 0.0 kJ/mol of atoms
- Formation energy from raw total energies: -2.578 eV per atom
- Magnetic moment: 4.00 μB/f.u.
- Symmetry: No. 15


Copy entry 7 word for word.
NaVPO5 | SCAN | PBEsol geometry

```
NaVPO5
1.0
-4.830 -3.830 0.960
3.663 -3.781 3.347
-2.516 5.388 8.841
Na V P O
4 4 4 20
Direct
0.500 0.503 0.750
0.000 0.503 0.250
0.000 0.003 0.750
0.500 0.003 0.250
0.750 0.753 0.528
0.750 0.753 0.028
0.250 0.253 0.972
0.250 0.253 0.472
0.250 0.753 0.000
0.250 0.753 0.500
0.750 0.253 0.000
0.750 0.253 0.500
0.245 0.953 0.914
0.255 0.953 0.414
0.750 0.753 0.878
0.750 0.753 0.378
0.449 0.748 0.586
0.450 0.758 0.086
0.050 0.758 0.586
0.051 0.748 0.086
0.245 0.554 0.414
0.255 0.554 0.914
0.745 0.453 0.586
0.755 0.453 0.086
0.950 0.258 0.414
0.551 0.248 0.414
0.250 0.253 0.622
0.250 0.253 0.122
0.949 0.248 0.914
0.550 0.258 0.914
0.745 0.054 0.086
0.755 0.054 0.586
```

## Properties
- Calculated volume: 12.96 A^3/atom
- Energy above the lowest structure with this stoichiometry: 3.4 kJ/mol of atoms
- N(E_F): 0.000 states/eV per cell
- Formation energy from raw total energies: -2.558 eV per atom
- Magnetic moment: 1.00 μB/f.u.
- Symmetry: No. 138


What is the formula in the second record? NaVPO5


Copy entry 8 word for word.
Na3V2P3O12 | SCAN | PBEsol geometry

```
Na3V2P3O12
1.0
8.745 0.006 0.036
4.322 7.602 0.036
4.396 2.560 7.162
Na V P O
6 4 6 24
Direct
0.000 0.500 0.000
0.500 0.000 0.500
0.109 0.249 0.756
0.751 0.891 0.744
0.249 0.109 0.256
0.891 0.751 0.244
0.147 0.641 0.564
0.641 0.147 0.064
0.359 0.853 0.936
0.853 0.359 0.436
0.546 0.747 0.243
0.043 0.957 0.750
0.253 0.454 0.257
0.747 0.546 0.743
0.957 0.043 0.250
0.454 0.253 0.757
0.729 0.582 0.255
0.564 0.914 0.247
0.220 0.937 0.767
0.529 0.798 0.055
0.369 0.712 0.407
0.869 0.982 0.926
0.063 0.780 0.733
0.418 0.271 0.245
0.202 0.471 0.445
0.288 0.631 0.093
0.982 0.869 0.426
0.914 0.564 0.747
0.086 0.436 0.253
0.018 0.131 0.574
0.712 0.369 0.907
0.798 0.529 0.555
0.582 0.729 0.755
0.937 0.220 0.267
0.131 0.018 0.074
0.631 0.288 0.593
0.471 0.202 0.945
0.780 0.063 0.233
0.436 0.086 0.753
0.271 0.418 0.745
```

## Properties
- Calculated volume: 11.86 A^3/atom
- Energy above the lowest structure with this stoichiometry: 0.0 kJ/mol of atoms
- Formation energy from raw total energies: -2.578 eV per atom
- Magnetic moment: 4.00 μB/f.u.
- Symmetry: No. 15


Which of these has the lowest calculated volume? number 2